DFT (PBE) results for an optimized crystal structure of Pr6DyEr2Sc.

extended XYZ file:
```
20
Lattice="9.0710 -1.9981 -2.0735 0.8462 8.6919 -2.0104 0.8462 -2.3312 8.6114" Properties=species:S:1:pos:R:3 pbc="T T T"
Pr 1.2141 -0.8739 6.2575
Pr 5.0137 -0.9239 6.2057
Pr 9.5492 5.2366 -1.7300
Pr 5.7496 5.2866 -1.6782
Pr 3.1519 -1.5602 3.1483
Pr 3.0759 2.1577 7.0067
Pr 7.6114 5.9229 1.3792
Pr 7.6874 2.2050 -2.4792
Pr 2.0399 4.7769 2.5348
Pr 4.1879 3.0057 0.6967
Pr 8.7234 -0.4142 1.9927
Pr 6.5754 1.3570 3.8308
Dy 3.1139 7.8990 -2.2461
Dy 7.6494 -3.5363 6.7736
Er 5.3603 4.3828 3.5105
Er 0.8676 2.0161 1.0544
Er 5.4031 -0.0201 1.0170
Er 9.8958 2.3466 3.4731
Sc 3.1139 1.7961 3.6347
Sc 7.6494 2.5666 0.8928
```

Results
SG: C2/c
E_form (eV per atom): 0.127

---

DFT (PBE) results for an optimized crystal structure of Ho5Si2Te.

extended XYZ file:
```
16
Lattice="-3.0659 0.8410 7.0953 3.8374 -6.3191 2.4071 4.7632 6.5416 -2.9770" Properties=species:S:1:pos:R:3 pbc="T T T"
Ho 4.5651 0.6836 3.2043
Ho 2.6797 -3.7328 7.1729
Ho 0.0000 0.0000 0.0000
Ho 0.3857 -2.7391 4.7512
Ho 2.8550 4.7963 -0.6475
Ho 2.0582 4.0045 3.3620
Ho 5.3619 1.4754 -0.8052
Ho 3.4764 -2.9409 3.1634
Ho 0.1728 -0.4119 7.3306
Ho 0.9695 0.3800 3.3211
Si 0.8968 -2.0997 1.8975
Si -1.4188 -0.3904 4.9542
Si 2.1902 -5.0877 4.5482
Si -0.1254 -3.3784 7.6049
Te 2.9602 -0.8378 5.6383
Te 2.5745 1.9013 0.8871
```

Results
SG: I4/mcm
Final energy (Ha/atom): -0.1965

---

DFT (PBE) results for an optimized crystal structure of Na2SbOs2.

extended XYZ file:
```
5
Lattice="-3.0917 1.2765 0.7400 -1.4188 -2.1001 -2.3050 -3.1836 -5.8795 4.7706" Properties=species:S:1:pos:R:3 pbc="T T T"
Sb 0.0000 0.0000 0.0000
Os -2.4184 -1.3728 0.1935
Os -5.2757 -5.3303 3.0122
Na -4.2653 -2.5074 2.3641
Na -3.4288 -4.1957 0.8416
```

Results
SG: I4/mmm
Final energy (Ha/atom): -0.1712

---

DFT (PBE) results for an optimized crystal structure of LiZrIrOs.

extended XYZ file:
```
4
Lattice="-0.0169 4.3363 -1.0537 -3.8704 2.1199 -0.6637 -1.4319 3.0113 2.9658" Properties=species:S:1:pos:R:3 pbc="T T T"
Ir -2.6596 4.7338 0.6242
Os -3.9894 7.1007 0.9363
Zr 0.0000 0.0000 0.0000
Li -1.3298 2.3669 0.3121
```

Results
SG: F-43m
E_form (eV per atom): -0.066

---

| no. | N(E_F) (states/eV/f.u.) |
| --- | --- |
| 1 | 15.0 |
| 2 | 11.4 |
| 3 | 3.1 |
| 4 | 4.9 |